Entry 1:
A geometry-optimized Dy8Er2Sn structure, computed with PBE.

The value obtained for the final energy is -4.642 eV/atom. The value obtained for the energy of formation is -1.1 eV/f.u. The crystal system is monoclinic.

The structure in POSCAR format:
```
Dy8Er2Sn
1.0
5.515 0.000 0.000
0.000 6.266 1.299
-2.757 -1.143 9.588
Dy Er Sn
8 2 1
direct
0.155 0.197 0.310
0.044 0.736 0.088
0.338 0.123 0.676
0.662 0.877 0.324
0.421 0.598 0.842
0.845 0.803 0.690
0.579 0.402 0.158
0.956 0.264 0.912
0.757 0.337 0.514
0.243 0.663 0.486
0.500 0.000 0.000
```

***

Entry 2:
A geometry-optimized Be2IrPb structure, computed with PBE.

The value obtained for the final energy is -4.954 eV/atom. The value obtained for the energy of formation is 0.2 eV/f.u. The crystal system is monoclinic.

The structure in POSCAR format:
```
Be2IrPb
1.0
3.916 -0.005 0.034
1.954 3.394 0.034
1.932 1.115 5.008
Be Ir Pb
2 1 1
direct
0.062 0.062 0.814
0.438 0.438 0.686
0.750 0.750 0.750
0.250 0.250 0.250
```

***

Entry 3:
A geometry-optimized LiIn2Ag structure, computed with PBE.

The value obtained for the final energy is -2.714 eV/atom. The value obtained for the energy of formation is -0.6 eV/f.u. The crystal system is cubic.

The structure in POSCAR format:
```
LiIn2Ag
1.0
-1.102 -2.343 -4.111
3.338 -0.468 -3.498
1.962 -4.348 -0.919
Ag In Li
1 2 1
direct
0.250 0.250 0.250
0.500 0.500 0.500
0.000 0.000 0.000
0.750 0.750 0.750
```

***

Entry 4:
A geometry-optimized SmHo3Te3 structure, computed with PBE.

The value obtained for the final energy is -4.992 eV/atom. As for the uncorrected formation energy: -1.010 eV per atom. The crystal system is trigonal.

The structure in POSCAR format:
```
SmHo3Te3
1.0
9.048 0.000 0.000
4.524 7.836 0.000
4.524 2.612 5.851
Ho Te Sm
6 6 2
direct
0.670 0.923 0.259
0.923 0.148 0.259
0.077 0.852 0.741
0.852 0.330 0.741
0.148 0.670 0.259
0.330 0.077 0.741
0.894 0.544 0.243
0.544 0.319 0.243
0.319 0.894 0.243
0.456 0.681 0.757
0.681 0.106 0.757
0.106 0.456 0.757
0.307 0.307 0.080
0.693 0.693 0.920
```

***

Entry 5:
A geometry-optimized CaIn2Ga structure, computed with PBE.

The value obtained for the final energy is -2.931 eV/atom. The value obtained for the energy of formation is -1.2 eV/f.u. The crystal system is tetragonal.

The structure in POSCAR format:
```
CaIn2Ga
1.0
4.633 0.000 -1.285
-0.356 4.619 -1.285
0.062 0.067 9.218
In Ga Ca
4 2 2
direct
0.643 0.643 0.286
0.500 0.000 0.000
0.357 0.357 0.714
0.000 0.500 0.000
0.750 0.250 0.500
0.250 0.750 0.500
0.133 0.133 0.267
0.867 0.867 0.733
```

***

Entry 6:
A geometry-optimized TiGa2FePd structure, computed with PBE.

The value obtained for the final energy is -5.081 eV/atom. The value obtained for the energy of formation is 2.2 eV/f.u. The crystal system is tetragonal.

The structure in POSCAR format:
```
TiGa2FePd
1.0
-0.434 2.573 3.631
-4.692 -0.726 -0.046
0.530 -3.592 2.609
Ti Ga Fe Pd
1 2 1 1
direct
0.500 0.500 0.500
0.500 0.000 0.000
0.000 0.000 0.500
0.000 0.000 0.000
0.000 0.500 0.000
```

***

Entry 7:
A geometry-optimized Zn2Pd3O8 structure, computed with PBE.

The value obtained for the final energy is -5.109 eV/atom. As for the uncorrected formation energy: -0.663 eV per atom. The crystal system is monoclinic.

The structure in POSCAR format:
```
Zn2Pd3O8
1.0
5.229 0.051 0.802
0.539 5.086 2.674
0.115 -0.069 5.770
Pd O Zn
3 8 2
direct
0.500 0.251 0.749
0.000 0.000 0.000
0.500 0.749 0.251
0.370 0.894 0.894
0.630 0.106 0.106
0.137 0.896 0.350
0.392 0.389 0.389
0.137 0.350 0.896
0.608 0.611 0.611
0.863 0.104 0.650
0.863 0.650 0.104
0.087 0.302 0.302
0.913 0.698 0.698
```

***

Entry 8:
A geometry-optimized La2Sn4Ir3Pt structure, computed with PBE.

The value obtained for the final energy is -6.511 eV/atom. The value obtained for the energy of formation is -6.6 eV/f.u. The crystal system is tetragonal.

The structure in POSCAR format:
```
La2Sn4Ir3Pt
1.0
-0.407 4.510 -0.005
-0.528 -0.052 -4.497
-10.851 -0.978 1.284
Ir Sn La Pt
3 4 2 1
direct
0.000 0.000 0.500
0.000 0.500 0.132
0.500 0.000 0.868
0.000 0.000 0.000
0.500 0.500 0.000
0.000 0.500 0.368
0.500 0.000 0.632
0.500 0.000 0.246
0.000 0.500 0.754
0.500 0.500 0.500
```

***

Entry 9:
A geometry-optimized ZrV2TeCl structure, computed with PBE.

The value obtained for the final energy is -5.836 eV/atom. As for the uncorrected formation energy: 0.519 eV per atom. The crystal system is tetragonal.

The structure in POSCAR format:
```
ZrV2TeCl
1.0
-1.518 -3.697 -1.449
-0.492 -1.998 5.610
-3.955 1.544 0.203
Te V Cl Zr
1 2 1 1
direct
0.000 0.500 0.000
0.500 0.000 0.000
0.000 0.000 0.500
0.000 0.000 0.000
0.500 0.500 0.500
```

***

Entry 10:
A geometry-optimized La2Tb2Pt15 structure, computed with PBE.

The value obtained for the final energy is -6.533 eV/atom. The value obtained for the energy of formation is -14.4 eV/f.u. The crystal system is trigonal.

The structure in POSCAR format:
```
La2Tb2Pt15
1.0
-1.111 -6.097 -3.537
6.724 -2.386 0.115
-0.622 -4.275 5.680
Pt Tb La
15 2 2
direct
0.653 0.159 0.653
0.310 0.000 0.690
0.500 0.000 0.000
0.347 0.347 0.841
0.653 0.653 0.159
0.347 0.841 0.347
0.159 0.653 0.653
0.690 0.310 0.000
0.690 0.000 0.310
0.310 0.690 0.000
0.841 0.347 0.347
0.000 0.690 0.310
0.000 0.500 0.000
0.000 0.000 0.500
0.000 0.310 0.690
0.106 0.106 0.106
0.894 0.894 0.894
0.356 0.356 0.356
0.644 0.644 0.644
```

***

Entry 11:
A geometry-optimized NdSm3Y2Er6 structure, computed with PBE.

The value obtained for the final energy is -4.917 eV/atom. The value obtained for the energy of formation is 0.2 eV/f.u. The crystal system is monoclinic.

The structure in POSCAR format:
```
NdSm3Y2Er6
1.0
-6.123 0.784 -0.012
2.382 -5.690 -0.251
1.150 1.080 11.664
Er Sm Y Nd
6 3 2 1
direct
0.250 0.250 0.750
0.583 0.916 0.750
0.916 0.583 0.750
0.750 0.750 0.250
0.084 0.417 0.250
0.417 0.084 0.250
0.167 0.833 0.500
0.500 0.500 0.500
0.833 0.167 0.500
0.667 0.333 0.000
0.333 0.667 0.000
0.000 0.000 0.000
```

***

Entry 12:
A geometry-optimized TbEr2Tm structure, computed with PBE.

The energy above the most stable polymorph in this dataset comes out at 1.1 kJ per mole of atoms. The value obtained for the final energy is -4.544 eV/atom. The value obtained for the energy of formation is 0.0 eV/f.u. The crystal system is triclinic.

The structure in POSCAR format:
```
TbEr2Tm
1.0
5.908 -0.068 1.597
-0.081 3.504 0.452
1.940 0.231 12.400
Tm Er Tb
2 4 2
direct
0.722 0.671 0.982
0.180 0.545 0.234
0.763 0.296 0.732
0.139 0.921 0.484
0.221 0.170 0.984
0.681 0.046 0.232
0.264 0.795 0.733
0.638 0.421 0.483
```

***

Which value of final energy does entry 1 give?
-4.642 eV/atom

***

Which of these has the highest final energy?
LiIn2Ag